Material: TmGa2SiNi2
Method: DFT, PBE
State: optimized geometry

Cell: 4.279 4.279 5.420 Å, 90.00 90.00 90.00°
Atoms (fractional coordinates):
Tm  0.000  0.000  0.000
Ga  0.500  0.500  0.234
Ga  0.500  0.500  0.766
Si  0.000  0.000  0.500
Ni  0.000  0.500  0.500
Ni  0.500  0.000  0.500

Results
- Crystal system: tetragonal
- Total magnetization: 0.00 μB/f.u.
- Raw formation energy: -0.37 eV/atom
- E: -4.9516 eV per atom
- Space-group type: P4/mmm (123)